# 1
Material: Ho5CuS4
Method: DFT, GGA-PBE
State: relaxed

Summary:
**Symmetry**: C2/m (12)

Structure (extended XYZ):
```
10
Lattice="-0.9473 0.6256 -3.6888 -6.7085 -1.2604 -0.5100 -3.7544 7.9070 0.2860" Properties=species:S:1:pos:R:3 pbc="T T T"
Ho -5.6288 0.2933 -2.5429
S -7.7805 6.0477 -3.0336
Ho -5.7815 6.9789 -1.3699
Ho -2.5303 2.7274 -2.9259
S -3.6298 1.2245 -0.8793
Ho -5.2315 3.3233 -0.1120
Ho -8.8800 4.5448 -0.9870
S -7.2598 2.4598 -1.7567
Cu 0.0000 0.0000 0.0000
S -4.1505 4.8124 -2.1562
```


# 2
Material: Ho6Cu2S
Method: DFT, GGA-PBE
State: relaxed

Summary:
**Symmetry**: P2_1/c (14)

Structure (extended XYZ):
```
18
Lattice="-4.6816 1.2129 -4.2061 4.2082 -2.1945 -5.3168 -3.7504 -9.2251 0.8392" Properties=species:S:1:pos:R:3 pbc="T T T"
Ho -2.9816 -9.0822 -1.5179
Ho -3.8948 -7.1021 -4.5942
Ho -3.9038 -3.6251 -3.4636
Ho -0.3199 -6.5816 -5.2201
Ho -1.5438 -5.7909 -1.9837
Cu -0.5903 -8.3127 -2.8868
Ho -1.2422 -1.1245 -7.1658
Ho -0.3290 -3.1047 -4.0895
S -1.8752 -4.6126 0.4196
Ho -2.7350 -8.0547 -8.0597
Ho -1.5416 -9.9857 -5.0272
Cu 0.1021 -3.6976 -6.8725
Cu -4.3258 -6.5092 -1.8111
S -0.2367 -0.4908 -4.7614
Ho -2.6822 -0.2211 -3.6564
Cu -3.6334 -1.8941 -5.7969
Ho -2.6799 -4.4159 -6.7000
Ho -1.4887 -2.1521 -0.6240
```


# 3
Material: HoCuS
Method: DFT, GGA-PBE
State: relaxed

Summary:
**Symmetry**: R-3m (166)

Structure (extended XYZ):
```
6
Lattice="-3.8345 -0.5203 -2.0629 -1.4749 -4.0297 -0.9030 -5.3061 -1.7059 5.6323" Properties=species:S:1:pos:R:3 pbc="T T T"
Ho -4.4164 -3.0803 -0.3356
S -8.3447 -4.7125 2.7171
Cu -3.4772 -1.6080 2.2081
S -2.2707 -1.5435 -0.0507
Cu -7.1383 -4.6479 0.4583
Ho -6.1991 -3.1757 3.0020
```


# 4
Material: HoCuS2
Method: DFT, GGA-PBE
State: relaxed

Summary:
**Symmetry**: R3m (160)

Structure (extended XYZ):
```
4
Lattice="-1.1037 2.8424 2.3724 -0.5713 -0.7272 3.7511 5.8643 2.1490 3.2994" Properties=species:S:1:pos:R:3 pbc="T T T"
Cu 3.8267 3.3521 7.2013
Ho 2.2188 2.1600 4.7358
S 4.6864 1.8841 3.0686
S 1.4163 1.1490 2.4280
```


What did we get for energy relative to the elements, uncorrected? Answer: -1.62, -0.52, -1.09, -1.17 eV per atom, in the order shown.